# 1
Density functional theory data (PBE-GGA) for crystalline LaErAlAg at its relaxed geometry.

abc: 5.276 5.276 5.276
angles: 60.00 60.00 60.00
Fractional coordinates of all 4 atoms:
La (0.000, 0.000, 0.000)
Er (0.500, 0.500, 0.500)
Al (0.250, 0.250, 0.250)
Ag (0.750, 0.750, 0.750)

Output
Space-group type: F-43m (216)
Uncorrected energy: -4.322 eV/atom
Formation energy: -0.301 eV/atom
Theoretical density: 7.05 g/cm3
DOS(E_F): 3.92 states/eV/cell

=====

# 2
Density functional theory data (PBE-GGA) for crystalline CoAsP2 at its relaxed geometry.

abc: 2.818 4.391 4.528
angles: 90.00 90.00 90.00
Fractional coordinates of all 4 atoms:
Co (0.000, 0.000, 0.000)
As (0.500, 0.500, 0.000)
P (0.000, 0.500, 0.500)
P (0.500, 0.000, 0.500)

Output
Space-group type: Pmmm (47)
Uncorrected energy: -5.117 eV/atom
Formation energy: 0.527 eV/atom
Theoretical density: 5.80 g/cm3
DOS(E_F): 3.31 states/eV/cell

=====

# 3
Density functional theory data (PBE-GGA) for crystalline Pm2Nd2HoTm2 at its relaxed geometry.

abc: 6.224 6.224 8.042
angles: 97.52 97.52 48.19
Fractional coordinates of all 7 atoms:
Pm (0.144, 0.144, 0.428)
Pm (0.856, 0.856, 0.572)
Nd (0.429, 0.429, 0.280)
Nd (0.571, 0.571, 0.720)
Ho (0.000, 0.000, 0.000)
Tm (0.285, 0.285, 0.860)
Tm (0.715, 0.715, 0.140)

Output
Space-group type: C2/m (12)
Uncorrected energy: -4.631 eV/atom
Formation energy: 0.020 eV/atom
Theoretical density: 7.81 g/cm3
DOS(E_F): 9.70 states/eV/cell

=====

Question: Which of these has the highest theoretical density?
Answer: Pm2Nd2HoTm2

=====

Question: What is the formula in the first record?
Answer: LaErAlAg